Arrangement A

DFT (PBE) results for a relaxed structure of ReNiRu2.

Geometry as POSCAR:
```
ReNiRu2
1.0
8.8049 0.0000 0.0000
0.0000 2.6881 0.0000
-0.7690 0.0000 4.5846
Re Ni Ru
2 2 4
Cartesian
0.0000 0.0000 0.0000
4.4024 1.3440 0.0000
-0.3845 1.3440 2.2923
4.0179 0.0000 2.2923
1.9903 1.3440 1.1715
1.6431 0.0000 3.4130
6.3927 0.0000 1.1715
6.0456 1.3440 3.4130
```

## Properties
SG: C2/m
M_tot (μB per formula unit): 0.000



Arrangement B

DFT (PBE) results for a relaxed structure of ReNiRu2.

Geometry as POSCAR:
```
ReNiRu2
1.0
8.8942 0.0000 0.0000
0.0000 2.6950 0.0000
-0.7816 0.0000 4.5386
Re Ni Ru
2 2 4
Cartesian
0.0000 0.0000 0.0000
4.4471 1.3475 0.0000
2.0279 1.3475 1.1025
6.4750 0.0000 1.1025
-0.3618 1.3475 2.2438
1.6290 0.0000 3.3753
4.0853 0.0000 2.2438
6.0761 1.3475 3.3753
```

## Properties
SG: Cm
M_tot (μB per formula unit): 0.000



Least stable: arrangement B



Arrangement A

DFT (PBE) results for a relaxed structure of B2C.

Geometry as POSCAR:
```
B2C
1.0
5.8578 -1.3645 0.0000
5.8578 1.3645 0.0000
-2.0671 0.0000 5.3189
B C
8 4
Cartesian
0.1310 0.0000 1.5895
-1.2368 0.0000 5.1783
1.8633 0.0000 4.0618
4.1240 0.0000 0.6520
5.5244 0.0000 4.6668
7.7851 0.0000 1.2571
10.8852 0.0000 0.1405
9.5174 0.0000 3.7294
2.8853 0.0000 1.5867
3.2187 0.0000 3.0525
6.4297 0.0000 2.2664
6.7631 0.0000 3.7322
```

## Properties
SG: C2/m
M_tot (μB per formula unit): 0.000



Arrangement B

DFT (PBE) results for a relaxed structure of B2C.

Geometry as POSCAR:
```
B2C
1.0
2.6349 0.0000 0.0000
-1.3174 2.2819 0.0000
0.0000 0.0000 15.5678
B C
8 4
Cartesian
0.0000 0.0000 0.0000
0.0000 0.0000 1.6697
0.0000 0.0000 7.4037
0.0000 0.0000 9.1489
0.0000 1.5212 2.7054
0.0000 1.5212 12.8127
1.3174 0.7606 6.3911
1.3174 0.7606 14.5237
0.0000 1.5212 4.2863
0.0000 1.5212 9.1886
1.3174 0.7606 4.8153
1.3174 0.7606 12.9482
```

## Properties
SG: P3m1
M_tot (μB per formula unit): 0.000



Least stable: arrangement B



Arrangement A

DFT (PBE) results for a relaxed structure of La2CdInRu.

Geometry as POSCAR:
```
La2CdInRu
1.0
5.4068 0.0000 0.0000
0.0000 5.4068 0.0000
0.0000 0.0000 5.2933
La Cd In Ru
2 1 1 1
Cartesian
0.0000 2.7034 0.0000
2.7034 0.0000 0.0000
0.0000 0.0000 2.6466
2.7034 2.7034 2.6466
2.7034 2.7034 0.0000
```

## Properties
SG: P4/mmm
M_tot (μB per formula unit): 0.000



Arrangement B

DFT (PBE) results for a relaxed structure of La2CdInRu.

Geometry as POSCAR:
```
La2CdInRu
1.0
5.3086 0.0000 0.0000
0.0000 5.3086 0.0000
0.0000 0.0000 5.3677
La Cd In Ru
2 1 1 1
Cartesian
0.0000 2.6543 0.0000
2.6543 0.0000 0.0000
0.0000 0.0000 2.6838
2.6543 2.6543 2.6838
0.0000 0.0000 0.0000
```

## Properties
SG: P4/mmm
M_tot (μB per formula unit): 0.000



Least stable: arrangement B